1.
Here is a relaxed PrInPO crystal from the Open Quantum Materials Database. Energies are from GGA-PBE.

The structure in POSCAR format:
```
PrInPO
1.0
-2.662 -2.490 2.147
3.717 -6.047 -2.405
3.588 0.298 4.795
Pr In O P
2 2 2 2
Direct
0.500 0.806 0.933
0.500 0.194 0.433
0.000 0.380 0.001
0.000 0.620 0.501
0.000 0.326 0.396
0.000 0.674 0.896
0.500 0.809 0.424
0.500 0.191 0.924
```

Results
The calculation puts the calculated density at 5.29 g cm⁻³. The value obtained for the relative energy among the computed polymorphs is 153 meV/atom. For the uncorrected energy, the calculation gives -45.962 eV/cell.

2.
Here is a relaxed Pr2Y2BCl5 crystal from the Open Quantum Materials Database. Energies are from GGA-PBE.

The structure in POSCAR format:
```
Pr2Y2BCl5
1.0
8.882 -1.945 0.000
8.882 1.945 0.000
-2.014 0.000 7.655
Cl B Y Pr
5 1 2 2
Direct
0.165 0.165 0.828
0.500 0.500 0.500
0.841 0.841 0.642
0.159 0.159 0.358
0.835 0.835 0.172
0.500 0.500 0.000
0.001 0.001 0.783
0.999 0.999 0.217
0.652 0.652 0.092
0.348 0.348 0.908
```

Results
The calculation puts the calculated density at 4.07 g cm⁻³. For the uncorrected energy, the calculation gives -55.011 eV/cell.

3.
Here is a relaxed Nb2HgSb crystal from the Open Quantum Materials Database. Energies are from GGA-PBE.

The structure in POSCAR format:
```
Nb2HgSb
1.0
0.000 3.446 3.446
3.446 0.000 3.446
3.446 3.446 0.000
Nb Hg Sb
2 1 1
Direct
0.750 0.750 0.750
0.000 0.000 0.000
0.250 0.250 0.250
0.500 0.500 0.500
```

Results
The calculation puts the calculated density at 10.31 g cm⁻³. For the uncorrected energy, the calculation gives -22.571 eV/cell.

4.
Here is a relaxed LaMoOs crystal from the Open Quantum Materials Database. Energies are from GGA-PBE.

The structure in POSCAR format:
```
LaMoOs
1.0
1.354 -3.040 2.989
-2.739 -1.263 3.303
-1.782 -4.103 -0.018
La Os Mo
1 1 1
Direct
0.000 0.000 0.000
0.750 0.750 0.750
0.250 0.250 0.250
```

Results
Its formation enthalpy at 0 K is 4.87 eV per formula unit. The calculation puts the calculated density at 11.15 g cm⁻³. For the uncorrected energy, the calculation gives -22.123 eV/cell.